Entry 1:
VASP calculation (PBE-GGA) on crystalline PPbO4 at its relaxed geometry.

a = 4.5128 Å, b = 7.6695 Å, c = 5.2448 Å
α = 90.00°, β = 90.71°, γ = 90.00°
Closest atoms and distances in Å follow each position.
Space group P2/c (No. 13)
Asymmetric unit:
P 0.0000 0.2024 0.2500 x2  4 O 1.55-1.57
Pb 0.5000 0.1866 0.7500 x2  6 O 2.41-2.49
O 0.1520 0.3190 0.4544 x4  1 P 1.55
O 0.2346 0.0838 0.1156 x4  1 P 1.57

electronic total energy = -6.4739 eV per atom
calculated volume = 181.5 Å³ per cell
E_form (uncorrected) = -1.649 eV per atom
calculated density = 5.529 Mg/m³
total magnetization = 0.000 μB/cell

Entry 2:
VASP calculation (PBE-GGA) on crystalline KZnNi2 at its relaxed geometry.

a = 5.8845 Å, b = 8.0845 Å, c = 2.7075 Å
α = 90.00°, β = 90.00°, γ = 90.00°
Closest atoms and distances in Å follow each position.
Space group Cmmm (No. 65)
Asymmetric unit:
K 0.0000 0.0000 0.0000 x2  2 K 2.71, 8 Ni 2.84, 2 Zn 2.94
Zn 0.0000 0.5000 0.0000 x2  2 Zn 2.71, 8 Ni 2.84, 2 K 2.94
Ni 0.2500 0.2500 0.5000 x4  4 Ni 2.71-2.94, 4 K 2.84, 4 Zn 2.84

electronic total energy = -2.7716 eV per atom
relative energy among the computed polymorphs = 404 meV/atom
calculated volume = 128.8 Å³ per cell
calculated density = 5.721 Mg/m³
total magnetization = 0.000 μB/cell